Record 1
Density functional theory data (PBE-GGA) for an optimized crystal structure of LaCl3.

Cell: 10.1585 10.1585 3.9045 Å, 90.00 90.00 120.00°
With the nearest neighbours (Å) after each atom.
Element x y z (fractional)
Cl1 0.4361 0.2181 0.2500  2 La 2.82
Cl2 0.7819 0.2181 0.2500  2 La 2.82
La1 0.6667 0.3333 0.7500  6 Cl 2.82
Cl3 0.2181 0.7819 0.7500  2 La 2.82
Cl4 0.7819 0.5639 0.2500  2 La 2.82
La2 0.3333 0.6667 0.2500  6 Cl 2.82
Cl5 0.5639 0.7819 0.7500  2 La 2.82
Cl6 0.2181 0.4361 0.7500  2 La 2.82

* raw formation energy: -2294 meV per atom
* Fermi-level density of states: 0.00 states/eV/cell
* space-group type: P6_3/mmc (194)

=====

Record 2
Density functional theory data (PBE-GGA) for an optimized crystal structure of La2Cl3.

Cell: 6.9226 6.9226 8.2737 Å, 65.27 65.27 60.00°
With the nearest neighbours (Å) after each atom.
Element x y z (fractional)
Cl1 0.2500 0.5817 0.2500  4 La 2.93
La1 0.6659 0.6659 0.0023  6 Cl 2.93
Cl2 0.7500 0.4183 0.7500  4 La 2.93
Cl3 0.9183 0.2500 0.2500  4 La 2.93
Cl4 0.4183 0.0817 0.7500  4 La 2.93
La2 0.3341 0.3341 0.9977  6 Cl 2.93
La3 0.8341 0.8341 0.4977  6 Cl 2.93
La4 0.1659 0.1659 0.5023  6 Cl 2.93
Cl5 0.5817 0.9183 0.2500  4 La 2.93
Cl6 0.0817 0.7500 0.7500  4 La 2.93

* raw formation energy: -1732 meV per atom
* Fermi-level density of states: 9.83 states/eV/cell
* space-group type: R-3c (167)

=====

Record 3
Density functional theory data (PBE-GGA) for an optimized crystal structure of La3Cl.

Cell: 8.4678 8.4678 3.6422 Å, 90.00 90.00 94.69°
With the nearest neighbours (Å) after each atom.
Element x y z (fractional)
La1 0.8520 0.1480 0.2500  2 Cl 3.30, 2 La 3.64
La2 0.5976 0.8405 0.7500  2 Cl 3.11
La3 0.8405 0.5976 0.2500  2 Cl 3.11
Cl1 0.6309 0.3691 0.7500  6 La 3.11-3.30
La4 0.4024 0.1595 0.2500  2 Cl 3.11
La5 0.1595 0.4024 0.7500  2 Cl 3.11
La6 0.1480 0.8520 0.7500  2 Cl 3.30, 2 La 3.64
Cl2 0.3691 0.6309 0.2500  6 La 3.11-3.30

* raw formation energy: -569 meV per atom
* Fermi-level density of states: 9.41 states/eV/cell
* offset from the most stable computed form: 0.166 eV per atom
* space-group type: Cmcm (63)

=====

Record 4
Density functional theory data (PBE-GGA) for an optimized crystal structure of La3Cl.

Cell: 4.9107 4.9107 4.9107 Å, 90.00 90.00 90.00°
With the nearest neighbours (Å) after each atom.
Element x y z (fractional)
La1 0.5000 0.0000 0.5000  8 La 3.47, 4 Cl 3.47
La2 0.5000 0.5000 0.0000  8 La 3.47, 4 Cl 3.47
Cl1 0.0000 0.0000 0.0000  12 La 3.47
La3 0.0000 0.5000 0.5000  8 La 3.47, 4 Cl 3.47

* raw formation energy: -223 meV per atom
* Fermi-level density of states: 6.38 states/eV/cell
* offset from the most stable computed form: 0.513 eV per atom
* space-group type: Pm-3m (221)

=====

Record 5
Density functional theory data (PBE-GGA) for an optimized crystal structure of LiLa2Cl6.

Cell: 6.6362 6.6362 12.0651 Å, 90.00 90.00 90.00°
With the nearest neighbours (Å) after each atom.
Element x y z (fractional)
La1 0.0000 0.0000 0.8460  6 Cl 2.82-2.89
Cl1 0.7265 0.7265 0.5000  1 Li 2.57, 2 La 2.82
Cl2 0.2265 0.7735 0.0000  1 Li 2.57, 2 La 2.82
Li1 0.0000 0.0000 0.5000  6 Cl 2.57-2.66
Cl3 0.2735 0.2735 0.5000  1 Li 2.57, 2 La 2.82
Cl4 0.6952 0.6952 0.1602  1 Li 2.66, 2 La 2.86-2.89
La2 0.5000 0.5000 0.3460  6 Cl 2.82-2.89
Cl5 0.7735 0.2265 0.0000  1 Li 2.57, 2 La 2.82
Cl6 0.8048 0.1952 0.3398  1 Li 2.66, 2 La 2.86-2.89
La3 0.0000 0.0000 0.1540  6 Cl 2.82-2.89
La4 0.5000 0.5000 0.6540  6 Cl 2.82-2.89
Cl7 0.8048 0.1952 0.6602  1 Li 2.66, 2 La 2.86-2.89
Cl8 0.3048 0.3048 0.8398  1 Li 2.66, 2 La 2.86-2.89
Cl9 0.3048 0.3048 0.1602  1 Li 2.66, 2 La 2.86-2.89
Li2 0.5000 0.5000 0.0000  6 Cl 2.57-2.66
Cl10 0.6952 0.6952 0.8398  1 Li 2.66, 2 La 2.86-2.89
Cl11 0.1952 0.8048 0.6602  1 Li 2.66, 2 La 2.86-2.89
Cl12 0.1952 0.8048 0.3398  1 Li 2.66, 2 La 2.86-2.89

* raw formation energy: -2124 meV per atom
* space-group type: P4_2/mnm (136)

=====

Record 6
Density functional theory data (PBE-GGA) for an optimized crystal structure of LiLaCl4.

Cell: 4.8381 4.8381 6.7935 Å, 80.15 80.15 88.98°
With the nearest neighbours (Å) after each atom.
Element x y z (fractional)
Cl1 0.5684 0.0573 0.7467  1 Li 2.50
La1 0.5024 0.4984 0.9984  8 Cl 2.93-2.94
Cl2 0.9429 0.4327 0.2515  1 Li 2.50
Cl3 0.4367 0.9389 0.2515  1 Li 2.50
Cl4 0.0613 0.5644 0.7467  1 Li 2.50
Li1 0.9961 0.9921 0.4941  4 Cl 2.50

* raw formation energy: -2148 meV per atom
* Fermi-level density of states: 0.00 states/eV/cell
* offset from the most stable computed form: 0.026 eV per atom
* space-group type: Cm (8)

=====

Record 7
Density functional theory data (PBE-GGA) for an optimized crystal structure of LiLaCl4.

Cell: 6.7536 6.7470 8.1910 Å, 114.05 114.35 90.00°
With the nearest neighbours (Å) after each atom.
Element x y z (fractional)
Cl1 0.9455 0.3190 0.7632  1 Li 2.51
Cl2 0.4463 0.4481 0.7643  1 Li 2.49
Li1 0.5000 0.5000 0.5000  4 Cl 2.49-2.51
Li2 0.0000 0.0000 0.5000  4 Cl 2.49-2.51
Cl3 0.0545 0.6810 0.2368  1 Li 2.51
La1 0.2496 0.7500 0.0000  8 Cl 2.92-2.93
La2 0.7504 0.2500 0.0000  8 Cl 2.92-2.93
Cl4 0.3180 0.9481 0.7643  1 Li 2.49
Cl5 0.1823 0.1810 0.2368  1 Li 2.51
Cl6 0.6820 0.0519 0.2357  1 Li 2.49
Cl7 0.8177 0.8190 0.7632  1 Li 2.51
Cl8 0.5537 0.5519 0.2357  1 Li 2.49

* raw formation energy: -2174 meV per atom
* Fermi-level density of states: 0.00 states/eV/cell
* offset from the most stable computed form: 0.000 eV per atom
* space-group type: C2/c (15)

=====

Record 8
Density functional theory data (PBE-GGA) for an optimized crystal structure of LiLa4Cl.

Cell: 6.6481 6.6481 6.6481 Å, 60.00 60.00 60.00°
With the nearest neighbours (Å) after each atom.
Element x y z (fractional)
Li1 0.7500 0.7500 0.7500  12 La 3.89, 4 Cl 4.07
La1 0.8656 0.3781 0.3781  6 La 3.24-3.41
La2 0.3781 0.8656 0.3781  6 La 3.24-3.41
La3 0.3781 0.3781 0.3781  6 La 3.24-3.41
La4 0.3781 0.3781 0.8656  6 La 3.24-3.41
Cl1 0.0000 0.0000 0.0000  12 La 3.91, 4 Li 4.07

* raw formation energy: 224 meV per atom
* Fermi-level density of states: 10.10 states/eV/cell
* space-group type: F-43m (216)

=====

Record 9
Density functional theory data (PBE-GGA) for an optimized crystal structure of LiLaCl3.

Cell: 7.1677 6.8677 10.4076 Å, 90.00 100.80 90.00°
With the nearest neighbours (Å) after each atom.
Element x y z (fractional)
La1 0.5885 0.1352 0.2232  7 Cl 2.89-3.08
Cl1 0.2080 0.9267 0.2173  2 Li 2.37-2.42
Cl2 0.8529 0.3230 0.0847  1 Li 2.39
Cl3 0.3703 0.2090 0.9433  1 Li 2.43
La2 0.0885 0.3648 0.7232  7 Cl 2.89-3.08
Cl4 0.7080 0.5733 0.7173  2 Li 2.37-2.42
Cl5 0.1471 0.6770 0.9153  1 Li 2.39
Li1 0.3511 0.6544 0.1243  4 Cl 2.37-2.43
Li2 0.6489 0.3456 0.8757  4 Cl 2.37-2.43
Cl6 0.7920 0.0733 0.7827  2 Li 2.37-2.42
La3 0.4115 0.8648 0.7768  7 Cl 2.89-3.08
Cl7 0.6471 0.8230 0.4153  1 Li 2.39
Cl8 0.2920 0.4267 0.2827  2 Li 2.37-2.42
Li3 0.1489 0.1544 0.3757  4 Cl 2.37-2.43
Cl9 0.3529 0.1770 0.5847  1 Li 2.39
Li4 0.8511 0.8456 0.6243  4 Cl 2.37-2.43
Cl10 0.6297 0.7910 0.0567  1 Li 2.43
La4 0.9115 0.6352 0.2768  7 Cl 2.89-3.08
Cl11 0.8703 0.2910 0.4433  1 Li 2.43
Cl12 0.1297 0.7090 0.5567  1 Li 2.43

* raw formation energy: -1882 meV per atom
* offset from the most stable computed form: 0.000 eV per atom
* space-group type: P2_1/c (14)

=====

Record 10
Density functional theory data (PBE-GGA) for an optimized crystal structure of LiLaCl3.

Cell: 5.6279 5.6279 5.6279 Å, 90.00 90.00 90.00°
With the nearest neighbours (Å) after each atom.
Element x y z (fractional)
Cl1 0.0000 0.0000 0.5000  2 La 2.81
La1 0.0000 0.0000 0.0000  6 Cl 2.81
Cl2 0.5000 0.0000 0.0000  2 La 2.81
Li1 0.5000 0.5000 0.5000  12 Cl 3.98
Cl3 0.0000 0.5000 0.0000  2 La 2.81

* raw formation energy: -1603 meV per atom
* Fermi-level density of states: 5.37 states/eV/cell
* offset from the most stable computed form: 0.279 eV per atom
* space-group type: Pm-3m (221)

=====

Record 11
Density functional theory data (PBE-GGA) for an optimized crystal structure of Li3LaCl.

Cell: 6.1907 6.1907 6.1907 Å, 90.00 90.00 90.00°
With the nearest neighbours (Å) after each atom.
Element x y z (fractional)
Cl1 0.5000 0.5000 0.5000  12 Li 4.38
Li1 0.0000 0.0000 0.5000  2 La 3.10
Li2 0.0000 0.5000 0.0000  2 La 3.10
Li3 0.5000 0.0000 0.0000  2 La 3.10
La1 0.0000 0.0000 0.0000  6 Li 3.10

* raw formation energy: 749 meV per atom
* Fermi-level density of states: 3.00 states/eV/cell
* offset from the most stable computed form: 0.978 eV per atom
* space-group type: Pm-3m (221)

=====

Record 12
Density functional theory data (PBE-GGA) for an optimized crystal structure of Li3LaCl.

Cell: 5.0025 5.0025 5.0025 Å, 90.00 90.00 90.00°
With the nearest neighbours (Å) after each atom.
Element x y z (fractional)
La1 0.5000 0.5000 0.5000  12 Li 3.54
Li1 0.5000 0.0000 0.0000  2 Cl 2.50
Li2 0.0000 0.0000 0.5000  2 Cl 2.50
Cl1 0.0000 0.0000 0.0000  6 Li 2.50
Li3 0.0000 0.5000 0.0000  2 Cl 2.50

* raw formation energy: -229 meV per atom
* Fermi-level density of states: 5.76 states/eV/cell
* offset from the most stable computed form: 0.000 eV per atom
* space-group type: Pm-3m (221)

=====

Results for E: -4.91 -4.81 -4.73 -4.38 -4.66 -4.52 -4.55 -3.69 -4.36 -4.08 -1.75 -2.73 (in eV per atom, following the order of the records).